(1)
# YCrPt2

An optimized crystal structure of YCrPt2 (PBE, Alexandria via LeMat-Bulk).

Results
calculated formation energy = -0.6489 eV/atom
DOS(E_F) = 0.559 states/eV/atom
offset from the most stable computed form = 2 meV/atom
E = -7.691 eV/atom
total moment = 4.4 Bohr magnetons per cell
symmetry = P4/mmm (123)

Unit cell a=4.335 b=4.336 c=3.838 alpha=90.00 beta=90.00 gamma=90.00
Fractional positions:
Cr: 0.000 0.500 0.500
Pt: 0.000 0.000 0.000
Pt: 0.500 0.500 0.000
Y: 0.500 0.000 0.500



(2)
# LiV2BiH

An optimized crystal structure of LiV2BiH (PBE, Alexandria via LeMat-Bulk).

Results
DOS(E_F) = 1.220 states/eV/atom
E = -4.031 eV/atom
total moment = 6.6 Bohr magnetons per cell
symmetry = P4/mmm (123)

Unit cell a=4.699 b=4.543 c=4.699 alpha=90.00 beta=90.00 gamma=90.00
Fractional positions:
H: 0.500 0.500 0.500
Li: 0.000 0.000 0.000
Bi: 0.000 0.500 0.000
V: 0.000 0.000 0.500
V: 0.500 0.000 0.000



What is the formula in the first record?
YCrPt2



What is the formula in the first record?
YCrPt2



Which formula does entry 1 have?
YCrPt2



Look up the total moment of the second one.
6.6 Bohr magnetons per cell